Entry 1:
Entry from Alexandria: a geometry-optimized YZr2Ru structure (PBE).

```
data_YZr2Ru
_chemical_formula_sum 'Y1 Zr2 Ru1'
_cell_length_a 3.317
_cell_length_b 4.532
_cell_length_c 6.022
_cell_angle_alpha 90.00
_cell_angle_beta 105.10
_cell_angle_gamma 90.00
_space_group_name_H-M_alt 'P 1 2/m 1'
_space_group_IT_number 10
_space_group_name_Hall '-P 2y'
loop_
_atom_site_label
_atom_site_type_symbol
_atom_site_fract_x
_atom_site_fract_y
_atom_site_fract_z
_atom_site_occupancy
Y1 Y 0.000 0.000 0.000 1
Zr1 Zr 0.313 0.500 0.716 1
Ru1 Ru 0.500 0.000 0.500 1
```


Entry 2:
Entry from Alexandria: a geometry-optimized NaCa2W structure (PBE).

```
data_NaCa2W
_chemical_formula_sum 'Na4 Ca8 W4'
_cell_length_a 4.824
_cell_length_b 4.824
_cell_length_c 21.917
_cell_angle_alpha 90.00
_cell_angle_beta 90.00
_cell_angle_gamma 90.00
_space_group_name_H-M_alt 'I -4 2 d'
_space_group_IT_number 122
_space_group_name_Hall 'I -4 2bw'
loop_
_atom_site_label
_atom_site_type_symbol
_atom_site_fract_x
_atom_site_fract_y
_atom_site_fract_z
_atom_site_occupancy
Na1 Na 0.000 0.000 0.000 1
Ca1 Ca 0.235 0.250 0.625 1
W1 W 0.000 0.000 0.500 1
```


Entry 3:
Entry from Alexandria: a geometry-optimized CePm2Ru3 structure (PBE).

```
data_CePm2Ru3
_chemical_formula_sum 'Ce4 Pm8 Ru12'
_cell_length_a 13.369
_cell_length_b 5.670
_cell_length_c 7.084
_cell_angle_alpha 90.00
_cell_angle_beta 106.22
_cell_angle_gamma 90.00
_space_group_name_H-M_alt 'C 1 2/c 1'
_space_group_IT_number 15
_space_group_name_Hall '-C 2yc'
loop_
_atom_site_label
_atom_site_type_symbol
_atom_site_fract_x
_atom_site_fract_y
_atom_site_fract_z
_atom_site_occupancy
Ce1 Ce 0.000 0.208 0.250 1
Pm1 Pm 0.206 0.001 0.103 1
Ru1 Ru 0.000 0.197 0.750 1
Ru2 Ru 0.113 0.493 0.551 1
```


Number 1: formation enthalpy at 0 K -0.078 eV per atom, energy above the most stable polymorph in this dataset 0.190 eV/atom, density of states at the Fermi level 1.2627 states/eV/atom. Number 2: formation enthalpy at 0 K 1.418 eV per atom, energy above the most stable polymorph in this dataset 0.465 eV/atom, density of states at the Fermi level 0.9005 states/eV/atom. Number 3: formation enthalpy at 0 K -0.155 eV per atom, energy above the most stable polymorph in this dataset 0.079 eV/atom, density of states at the Fermi level 0.6717 states/eV/atom.